[1]
PuGaBiO6: optimized geometry, PBE-GGA.

Properties
Space-group type = P-31c (163)
DFT total energy = -7.567 eV/atom
Raw formation energy = -1901 meV per atom

a b c (Å): 5.369 5.369 10.119
angles (deg): 90.00 90.00 120.00
Positions (direct):
Pu1 0.333 0.667 0.250
Pu2 0.667 0.333 0.750
Ga1 0.333 0.667 0.750
Ga2 0.667 0.333 0.250
Bi1 0.000 0.000 0.000
Bi2 0.000 0.000 0.500
O1 0.007 0.362 0.640
O2 0.007 0.645 0.860
O3 0.355 0.362 0.860
O4 0.355 0.993 0.640
O5 0.362 0.007 0.140
O6 0.362 0.355 0.360
O7 0.638 0.645 0.640
O8 0.638 0.993 0.860
O9 0.645 0.007 0.360
O10 0.645 0.638 0.140
O11 0.993 0.355 0.140
O12 0.993 0.638 0.360

=====

[2]
Pm6SmAl2: optimized geometry, PBE-GGA.

Properties
Space-group type = C2/m (12)
DFT total energy = -4.664 eV/atom

a b c (Å): 6.703 6.703 12.014
angles (deg): 108.55 108.55 32.87
Positions (direct):
Pm1 0.023 0.023 0.326
Pm2 0.311 0.311 0.411
Pm3 0.312 0.312 0.125
Pm4 0.688 0.688 0.875
Pm5 0.689 0.689 0.589
Pm6 0.977 0.977 0.674
Sm1 0.000 0.000 0.000
Al1 0.351 0.351 0.796
Al2 0.649 0.649 0.204

=====

Density (computed, g cm⁻³): 8.13, 6.46